[1]
The following is a DFT calculation (PBEsol) of a relaxed BaB2Ru crystal.

The space group is I4_1/amd (No. 141, origin choice 2) and the conventional cell measures 5.129, 5.129 and 12.005 Å, with angles of 90.00, 90.00 and 90.00 degrees. The inequivalent atoms are Ba at (0.000, 0.250, 0.375), B at (0.000, 0.000, 0.000) and Ru at (0.000, 0.250, 0.875).

As for the energy relative to the elements: 0.09 eV/atom.

[2]
The following is a DFT calculation (PBEsol) of a relaxed BaTiBRu2 crystal.

The space group is P4/mmm (No. 123) and the conventional cell measures 4.321, 4.321 and 4.397 Å, with angles of 90.00, 90.00 and 90.00 degrees. The inequivalent atoms are Ba at (0.000, 0.000, 0.000), Ti at (0.500, 0.500, 0.000), B at (0.500, 0.500, 0.500) and Ru at (0.000, 0.500, 0.500).

As for the energy relative to the elements: 0.43 eV/atom.

[3]
The following is a DFT calculation (PBEsol) of a relaxed Ba2BS crystal.

The space group is Fm-3m (No. 225) and the conventional cell measures 7.558, 7.558 and 7.558 Å, with angles of 90.00, 90.00 and 90.00 degrees. The inequivalent atoms are Ba at (0.250, 0.250, 0.250), B at (0.000, 0.000, 0.000) and S at (0.000, 0.000, 0.500).

The value obtained for the energy relative to the elements, uncorrected is -0.23 eV/atom.

[4]
The following is a DFT calculation (PBEsol) of a relaxed BaBS3 crystal.

The space group is Pm-3m (No. 221) and the conventional cell measures 5.797, 5.797 and 5.797 Å, with angles of 90.00, 90.00 and 90.00 degrees. The inequivalent atoms are Ba at (0.000, 0.000, 0.000), B at (0.500, 0.500, 0.500) and S at (0.000, 0.000, 0.500).

The value obtained for the energy relative to the elements, uncorrected is 1.45 eV/atom.

[5]
The following is a DFT calculation (PBEsol) of a relaxed BaBS2 crystal.

The space group is R-3m (No. 166, hexagonal axes) and the conventional cell measures 3.2942, 3.2942 and 24.9163 Å, with angles of 90.00, 90.00 and 120.00 degrees. The inequivalent atoms are Ba at (0.0000, 0.0000, 0.0000), B at (0.0000, 0.0000, 0.5000) and S at (0.0000, 0.0000, 0.1208).

The value obtained for the energy relative to the elements, uncorrected is 0.22 eV/atom.

[6]
The following is a DFT calculation (PBEsol) of a relaxed BaBSbS4 crystal.

The space group is Pnma (No. 62) and the conventional cell measures 9.610, 6.180 and 11.662 Å, with angles of 90.00, 90.00 and 90.00 degrees. The inequivalent atoms are Ba at (0.014, 0.250, 0.167), B at (0.191, 0.750, 0.446), Sb at (0.186, 0.250, 0.540), S at (0.073, 0.750, 0.093), S at (0.167, 0.750, 0.598) and S at (0.207, 0.000, 0.367).

The value obtained for the energy relative to the elements, uncorrected is -0.93 eV/atom.

[7]
The following is a DFT calculation (PBEsol) of a relaxed BaB3Sb crystal.

The space group is Pm-3m (No. 221) and the conventional cell measures 4.850, 4.850 and 4.850 Å, with angles of 90.00, 90.00 and 90.00 degrees. The inequivalent atoms are Ba at (0.000, 0.000, 0.000), B at (0.000, 0.000, 0.500) and Sb at (0.500, 0.500, 0.500).

The value obtained for the energy relative to the elements, uncorrected is 2.71 eV/atom.

[8]
The following is a DFT calculation (PBEsol) of a relaxed Ba2SnBSb crystal.

The space group is P4/mmm (No. 123) and the conventional cell measures 6.584, 6.584 and 4.257 Å, with angles of 90.00, 90.00 and 90.00 degrees. The inequivalent atoms are Ba at (0.000, 0.500, 0.000), Sn at (0.000, 0.000, 0.500), B at (0.500, 0.500, 0.500) and Sb at (0.500, 0.500, 0.000).

The value obtained for the energy relative to the elements, uncorrected is 0.25 eV/atom.

[9]
The following is a DFT calculation (PBEsol) of a relaxed BaBSb2Te crystal.

The space group is P4/mmm (No. 123) and the conventional cell measures 4.961, 4.961 and 5.271 Å, with angles of 90.00, 90.00 and 90.00 degrees. The inequivalent atoms are Ba at (0.000, 0.000, 0.000), B at (0.500, 0.500, 0.500), Sb at (0.000, 0.500, 0.500) and Te at (0.500, 0.500, 0.000).

The value obtained for the energy relative to the elements, uncorrected is 0.06 eV/atom.

[10]
The following is a DFT calculation (PBEsol) of a relaxed BaBSe3 crystal.

The space group is Pm-3m (No. 221) and the conventional cell measures 4.734, 4.734 and 4.734 Å, with angles of 90.00, 90.00 and 90.00 degrees. The inequivalent atoms are Ba at (0.000, 0.000, 0.000), B at (0.500, 0.500, 0.500) and Se at (0.000, 0.500, 0.500).

The value obtained for the energy relative to the elements, uncorrected is -0.36 eV/atom.

[11]
The following is a DFT calculation (PBEsol) of a relaxed BaBSe2 crystal.

The space group is I-42d (No. 122) and the conventional cell measures 7.017, 7.017 and 7.371 Å, with angles of 90.00, 90.00 and 90.00 degrees. The inequivalent atoms are Ba at (0.000, 0.000, 0.000), B at (0.000, 0.000, 0.500) and Se at (0.121, 0.250, 0.625).

The value obtained for the energy relative to the elements, uncorrected is -0.51 eV/atom.

[12]
The following is a DFT calculation (PBEsol) of a relaxed BaB2Se6 crystal.

The space group is Cmce (No. 64) and the conventional cell measures 11.148, 7.708 and 10.202 Å, with angles of 90.00, 90.00 and 90.00 degrees. The inequivalent atoms are Ba at (0.000, 0.000, 0.000), B at (0.114, 0.000, 0.500), Se at (0.000, 0.103, 0.359) and Se at (0.210, 0.184, 0.596).

The value obtained for the energy relative to the elements, uncorrected is -0.57 eV/atom.